# LaTc3Bi

A geometry-optimized LaTc3Bi structure (GGA-PBE, Alexandria via LeMat-Bulk).

a b c (Å): 5.0356 5.0356 5.0356
angles (deg): 90.00 90.00 90.00
Sites, in units of the cell vectors:
La1 0.0000 0.0000 0.0000
Tc1 0.0000 0.5000 0.5000
Tc2 0.5000 0.0000 0.5000
Tc3 0.5000 0.5000 0.0000
Bi1 0.5000 0.5000 0.5000

Values from the calculation:
Symmetry   Pm-3m (221)
Calculated formation energy   34.37 kcal/mol of atoms
Offset from the most stable computed form   0 meV/atom